No. 1
Here is an optimized crystal structure of Rb2SrIrI6 from Alexandria via LeMat-Bulk. Energies are from GGA-PBE.

Summary:
formation energy without anion corrections = -0.90 eV/atom
final energy = -3.08 eV/atom
theoretical density = 4.7 g/cm³

```
10
Lattice="-5.4747 5.7630 -2.9481 -5.9114 -2.8773 5.3529 -3.8337 5.3278 5.3439" Properties=species:S:1:pos:R:3 pbc="T T T"
I -4.6871 3.5448 3.4431
I -10.5327 4.6687 4.3056
I -2.6216 0.6644 0.5537
I -8.7644 2.2213 1.8511
I -5.5753 3.7736 -1.0368
I -5.8108 -0.8879 3.4416
Sr -5.6930 1.4429 1.2024
Ir 0.0000 0.0000 0.0000
Rb -7.5007 6.2668 1.7991
Rb -7.7191 1.9467 5.9496
```

***

No. 2
Here is an optimized crystal structure of Pm5Pr2Nd2 from Alexandria via LeMat-Bulk. Energies are from GGA-PBE.

Summary:
final energy = -4.58 eV/atom
theoretical density = 6.8 g/cm³
polymorph energy (0 for the lowest one) = 50.5 meV per atom

```
18
Lattice="-9.2122 5.0798 -6.0608 -3.1945 -6.1105 -0.2659 2.7273 2.0468 9.7304" Properties=species:S:1:pos:R:3 pbc="T T T"
Pm -1.4857 -1.1527 7.3134
Pm -9.5147 -0.3581 -4.0197
Pm 0.1561 1.8779 7.4757
Pm -7.9621 2.7218 -3.9161
Pm -2.7764 2.3091 0.4955
Pm -6.1822 0.0859 2.9682
Pm -4.6921 -0.5706 0.1530
Pm -4.2665 2.9656 3.3107
Pm -0.8704 -2.9398 4.6069
Pm -8.2337 5.0564 -1.1554
Pr -0.0800 -0.1530 -0.0067
Pr -6.2833 -0.6683 -3.1700
Pr -2.0780 0.2182 3.2313
Pr -8.1979 -0.3431 0.1228
Nd -2.6935 -3.0192 1.4863
Nd -7.3685 3.3035 1.8855
Nd -5.6439 2.5437 -1.3727
Nd -4.4182 -2.2594 4.7445
```

***

No. 3
Here is an optimized crystal structure of KSc2NiS4 from Alexandria via LeMat-Bulk. Energies are from GGA-PBE.

Summary:
formation energy without anion corrections = -1.50 eV/atom
final energy = -6.00 eV/atom
theoretical density = 3.3 g/cm³

```
16
Lattice="-0.6078 3.6703 0.1704 -0.1729 -2.2181 6.4624 12.9135 2.0890 1.0625" Properties=species:S:1:pos:R:3 pbc="T T T"
K 9.5798 1.4822 2.2423
K 2.5529 2.0590 5.4531
Sc 6.9242 0.8958 5.4012
Sc 0.3862 1.8653 1.8974
Sc 5.2086 2.6454 2.2942
Sc 11.7465 1.6758 5.7980
Ni 9.0586 3.1427 5.3122
Ni 3.0742 0.3984 2.3832
S 1.1455 0.0268 3.5086
S 7.3158 2.9204 3.8847
S 10.9873 3.5144 4.1868
S 4.8170 0.6207 3.8107
S 6.4567 1.0445 0.5313
S 0.0000 0.0000 0.0000
S 9.2763 1.2383 6.4112
S 2.8565 2.3028 1.2842
```

***

No. 4
Here is an optimized crystal structure of SmGa2Cl5 from Alexandria via LeMat-Bulk. Energies are from GGA-PBE.

Summary:
formation energy without anion corrections = -1.49 eV/atom
final energy = -3.99 eV/atom
theoretical density = 2.9 g/cm³

```
16
Lattice="-5.4350 -1.3293 4.9384 1.9598 -8.5042 5.5065 2.1680 1.3597 8.3909" Properties=species:S:1:pos:R:3 pbc="T T T"
Sm -2.9515 -7.5021 11.6481
Sm -2.8482 -2.5704 13.0909
Ga -1.5842 -5.0466 8.4912
Ga -0.8379 -0.1164 4.3680
Ga -1.1760 -0.0403 9.6572
Ga 0.9200 -3.7635 11.5946
Cl -1.8200 -2.7782 10.6012
Cl -3.8305 -6.4058 9.3410
Cl 1.5605 -1.0294 10.6431
Cl 0.0752 -7.2212 7.3424
Cl 0.1321 -0.5301 7.2772
Cl -0.5435 -6.4505 11.0181
Cl -0.3927 -3.2755 13.9690
Cl -2.0715 -8.5926 13.9576
Cl -4.2019 -1.2770 4.7273
Cl 1.7718 -3.8929 8.1233
```

***

No. 5
Here is an optimized crystal structure of TlFe3Te from Alexandria via LeMat-Bulk. Energies are from GGA-PBE.

Summary:
formation energy without anion corrections = 0.99 eV/atom
final energy = -5.19 eV/atom
theoretical density = 7.6 g/cm³
polymorph energy (0 for the lowest one) = 0.0 meV per atom

```
5
Lattice="4.7799 0.0000 0.0000 0.0000 4.7799 0.0000 0.0000 0.0000 4.7799" Properties=species:S:1:pos:R:3 pbc="T T T"
Tl 2.3900 2.3900 2.3900
Te 0.0000 0.0000 0.0000
Fe 0.0000 2.3900 0.0000
Fe 0.0000 0.0000 2.3900
Fe 2.3900 0.0000 0.0000
```

***

No. 6
Here is an optimized crystal structure of Li5Ag2Hg2Ge from Alexandria via LeMat-Bulk. Energies are from GGA-PBE.

Summary:
final energy = -2.24 eV/atom
theoretical density = 6.6 g/cm³

```
20
Lattice="-2.8410 0.4954 -1.2048 -4.2051 -0.0285 9.9039 1.5588 10.6236 0.6925" Properties=species:S:1:pos:R:3 pbc="T T T"
Li -0.7130 10.7680 2.0551
Li -4.7742 0.3225 7.3364
Li -4.3384 8.7284 9.7651
Li -3.5664 5.6372 6.6735
Li -1.1489 2.3621 -0.3736
Li -1.9209 5.4533 2.7180
Li -2.3947 7.6602 4.7426
Li -3.0926 3.4303 4.6489
Li -3.5231 0.2334 4.3495
Li -0.6411 5.5595 -0.2562
Ag -2.5048 1.5963 6.5627
Ag -0.1415 8.9988 4.0337
Ag -0.0968 3.6926 1.7465
Ag -2.5495 6.9025 8.8499
Hg 0.3580 6.9989 2.0335
Hg -3.0043 3.5962 8.5628
Hg -1.4615 8.9132 7.1112
Hg -1.1847 1.6819 3.4852
Ge 0.0000 0.0000 0.0000
Ge -1.3231 5.2975 5.2982
```